Entry 1:
Below is a relaxed structure of RbZn3Sn3, with properties calculated at the PBE-GGA level.

## Properties
Formation energy from the elements ... 0.074 eV/atom
Energy above the lowest structure with this stoichiometry ... 0.430 kcal/mol of atoms
SG ... No. 223

a b c (Å): 7.606 7.606 7.606
angles (deg): 90.00 90.00 90.00
Atoms (fractional coordinates):
Zn 0.250 0.000 0.500
Zn 0.000 0.500 0.250
Zn 0.500 0.750 0.000
Zn 0.750 0.000 0.500
Zn 0.000 0.500 0.750
Zn 0.500 0.250 0.000
Sn 0.000 0.250 0.500
Sn 0.000 0.750 0.500
Sn 0.500 0.000 0.750
Sn 0.750 0.500 0.000
Sn 0.500 0.000 0.250
Sn 0.250 0.500 0.000
Rb 0.500 0.500 0.500
Rb 0.000 0.000 0.000



Entry 2:
Below is a relaxed structure of Ac8Tl5H, with properties calculated at the PBE-GGA level.

## Properties
SG ... No. 82

a b c (Å): 8.770 8.770 8.770
angles (deg): 111.25 105.97 111.25
Atoms (fractional coordinates):
Ac 0.181 0.737 0.008
Ac 0.992 0.173 0.728
Ac 0.722 0.229 0.318
Ac 0.682 0.404 0.911
Ac 0.507 0.596 0.278
Ac 0.556 0.827 0.819
Ac 0.272 0.263 0.444
Ac 0.089 0.771 0.493
Tl 0.040 0.374 0.157
Tl 0.843 0.883 0.217
Tl 0.783 0.626 0.665
Tl 0.500 0.000 0.500
Tl 0.335 0.117 0.960
H 0.250 0.500 0.750



Entry 3:
Below is a relaxed structure of Sr2SnAs, with properties calculated at the PBE-GGA level.

## Properties
Formation energy from the elements ... -0.619 eV/atom
Energy above the lowest structure with this stoichiometry ... 2.810 kcal/mol of atoms
SG ... No. 225

a b c (Å): 5.601 5.601 5.601
angles (deg): 60.00 60.00 60.00
Atoms (fractional coordinates):
Sr 0.250 0.250 0.250
Sr 0.750 0.750 0.750
As 0.000 0.000 0.000
Sn 0.500 0.500 0.500



Entry 4:
Below is a relaxed structure of Pm2MgRh, with properties calculated at the PBE-GGA level.

## Properties
Formation energy from the elements ... -0.318 eV/atom
Energy above the lowest structure with this stoichiometry ... 2.620 kcal/mol of atoms
SG ... No. 225

a b c (Å): 5.184 5.184 5.184
angles (deg): 60.00 60.00 60.00
Atoms (fractional coordinates):
Mg 0.500 0.500 0.500
Rh 0.000 0.000 0.000
Pm 0.250 0.250 0.250
Pm 0.750 0.750 0.750



Entry 5:
Below is a relaxed structure of Y2ZrCl, with properties calculated at the PBE-GGA level.

## Properties
Energy above the lowest structure with this stoichiometry ... 1.906 kcal/mol of atoms
E_form (uncorrected) ... -51.6 kJ per mole of atoms
SG ... No. 123

a b c (Å): 3.395 3.395 9.022
angles (deg): 90.00 90.00 90.00
Atoms (fractional coordinates):
Cl 0.500 0.500 0.750
Y 0.000 0.000 0.998
Y 0.000 0.000 0.502
Zr 0.500 0.500 0.250



Entry 6:
Below is a relaxed structure of Cs2UPd2Se6, with properties calculated at the PBE-GGA level.

## Properties
E_form (uncorrected) ... -67.8 kJ per mole of atoms
SG ... No. 12

a b c (Å): 7.790 7.788 8.248
angles (deg): 118.48 90.00 120.00
Atoms (fractional coordinates):
Cs 0.741 0.483 0.225
Cs 0.259 0.517 0.775
U 0.500 0.000 0.500
Pd 0.927 0.855 0.781
Pd 0.073 0.145 0.219
Se 0.737 0.474 0.740
Se 0.265 0.998 0.262
Se 0.266 0.002 0.738
Se 0.735 0.002 0.738
Se 0.734 0.998 0.262
Se 0.263 0.526 0.260



Entry 7:
Below is a relaxed structure of Tb3BiPS, with properties calculated at the PBE-GGA level.

## Properties
E_form (uncorrected) ... -138.5 kJ per mole of atoms
SG ... No. 11

a b c (Å): 4.176 7.107 10.882
angles (deg): 102.29 90.00 90.00
Atoms (fractional coordinates):
Tb 0.250 0.760 0.491
Tb 0.750 0.038 0.149
Tb 0.750 0.557 0.155
Tb 0.750 0.240 0.509
Tb 0.250 0.443 0.845
Tb 0.250 0.962 0.851
Bi 0.750 0.655 0.692
Bi 0.250 0.345 0.308
P 0.250 0.765 0.055
P 0.750 0.235 0.945
S 0.250 0.127 0.639
S 0.750 0.873 0.361



Entry 8:
Below is a relaxed structure of TbNd4Hg2, with properties calculated at the PBE-GGA level.

## Properties
Formation energy from the elements ... -0.108 eV/atom
SG ... No. 1

a b c (Å): 8.776 9.118 9.153
angles (deg): 138.52 108.14 86.80
Atoms (fractional coordinates):
Tb 0.029 0.473 0.328
Tb 0.203 0.075 0.882
Nd 0.808 0.094 0.212
Nd 0.357 0.691 0.344
Nd 0.946 0.663 0.765
Nd 0.806 0.022 0.697
Nd 0.272 0.102 0.337
Nd 0.551 0.315 0.952
Nd 0.419 0.703 0.779
Nd 0.953 0.741 0.220
Hg 0.673 0.362 0.683
Hg 0.572 0.824 0.218
Hg 0.536 0.365 0.334
Hg 0.128 0.321 0.749



Entry 9:
Below is a relaxed structure of TbPm8Mg2, with properties calculated at the PBE-GGA level.

## Properties
Formation energy from the elements ... 0.115 eV/atom
Energy above the lowest structure with this stoichiometry ... 2.419 kcal/mol of atoms
SG ... No. 12

a b c (Å): 5.815 8.945 9.099
angles (deg): 60.56 76.81 62.33
Atoms (fractional coordinates):
Tb 0.500 0.000 0.000
Pm 0.860 0.097 0.227
Pm 0.860 0.324 0.773
Pm 0.294 0.411 0.000
Pm 0.500 0.790 0.421
Pm 0.500 0.210 0.579
Pm 0.706 0.589 0.000
Pm 0.140 0.676 0.227
Pm 0.140 0.903 0.773
Mg 0.000 0.307 0.386
Mg 0.000 0.693 0.614



Entry 10:
Below is a relaxed structure of Li2Pm2Pb3, with properties calculated at the PBE-GGA level.

## Properties
Formation energy from the elements ... -0.464 eV/atom
SG ... No. 63

a b c (Å): 4.763 7.460 10.460
angles (deg): 90.00 103.16 90.00
Atoms (fractional coordinates):
Li 0.700 0.939 0.399
Li 0.300 0.061 0.601
Li 0.300 0.439 0.601
Li 0.700 0.561 0.399
Pm 0.156 0.250 0.313
Pm 0.844 0.750 0.687
Pm 0.953 0.250 0.906
Pm 0.047 0.750 0.094
Pb 0.219 0.750 0.438
Pb 0.781 0.250 0.562
Pb 0.572 0.456 0.144
Pb 0.428 0.544 0.856
Pb 0.428 0.956 0.856
Pb 0.572 0.044 0.144



Entry 11:
Below is a relaxed structure of Ba2ZrMnS5, with properties calculated at the PBE-GGA level.

## Properties
E_form (uncorrected) ... -153.4 kJ per mole of atoms
SG ... No. 36

a b c (Å): 4.045 9.246 12.761
angles (deg): 90.00 90.00 102.63
Each line ends with the local moment (μB).
Atoms (fractional coordinates):
Ba 0.874 0.748 0.812  0.02
Ba 0.112 0.224 0.685  0.01
Ba 0.126 0.252 0.312  0.02
Ba 0.888 0.776 0.185  0.01
Zr 0.792 0.585 0.518  0.08
Zr 0.208 0.415 0.018  0.08
Mn 0.566 0.132 0.944  4.07
Mn 0.434 0.868 0.444  4.07
S 0.346 0.691 0.003  0.02
S 0.694 0.387 0.879  0.04
S 0.502 0.005 0.787  0.04
S 0.288 0.576 0.650  0.01
S 0.937 0.873 0.546  0.04
S 0.654 0.309 0.503  0.02
S 0.306 0.613 0.379  0.04
S 0.498 0.995 0.287  0.04
S 0.712 0.424 0.150  0.01
S 0.063 0.127 0.046  0.04



Entry 12:
Below is a relaxed structure of Zr2BeSi, with properties calculated at the PBE-GGA level.

## Properties
Energy above the lowest structure with this stoichiometry ... 12.551 kcal/mol of atoms
E_form (uncorrected) ... -10.0 kJ per mole of atoms
SG ... No. 99

a b c (Å): 3.051 3.051 7.353
angles (deg): 90.00 90.00 90.00
Atoms (fractional coordinates):
Be 0.000 0.000 0.549
Si 0.500 0.500 0.694
Zr 0.000 0.000 0.954
Zr 0.500 0.500 0.303



Entry 13:
Below is a relaxed structure of CaAcRh2, with properties calculated at the PBE-GGA level.

## Properties
Formation energy from the elements ... -0.457 eV/atom
Energy above the lowest structure with this stoichiometry ... 0.442 kcal/mol of atoms
SG ... No. 123

a b c (Å): 3.751 4.921 4.921
angles (deg): 90.00 90.00 90.00
Atoms (fractional coordinates):
Ac 0.500 0.500 0.500
Rh 0.000 0.000 0.500
Rh 0.000 0.500 0.000
Ca 0.500 0.000 0.000



Entry 14:
Below is a relaxed structure of BeInSb2, with properties calculated at the PBE-GGA level.

## Properties
Energy above the lowest structure with this stoichiometry ... 10.105 kcal/mol of atoms
E_form (uncorrected) ... 51.3 kJ per mole of atoms
SG ... No. 65

a b c (Å): 4.950 4.950 3.959
angles (deg): 90.00 90.00 102.55
Atoms (fractional coordinates):
Sb 0.000 0.000 0.000
Sb 0.500 0.500 0.000
Be 0.500 0.000 0.500
In 0.000 0.500 0.500



Entry 15:
Below is a relaxed structure of Pr3Ge3Rh, with properties calculated at the PBE-GGA level.

## Properties
Formation energy from the elements ... -0.847 eV/atom
SG ... No. 12

a b c (Å): 4.431 5.963 13.795
angles (deg): 84.62 80.76 68.19
Atoms (fractional coordinates):
Pr 0.531 0.319 0.620
Pr 0.469 0.681 0.380
Pr 0.253 0.261 0.234
Pr 0.747 0.739 0.766
Pr 0.399 0.281 0.921
Pr 0.601 0.719 0.079
Ge 0.858 0.745 0.539
Ge 0.142 0.255 0.461
Ge 0.115 0.845 0.925
Ge 0.885 0.155 0.075
Ge 0.957 0.853 0.234
Ge 0.043 0.147 0.766
Rh 0.750 0.106 0.395
Rh 0.250 0.894 0.605



Entry 16:
Below is a relaxed structure of CaSm2Cu, with properties calculated at the PBE-GGA level.

## Properties
Formation energy from the elements ... -0.022 eV/atom
Energy above the lowest structure with this stoichiometry ... 0.000 kcal/mol of atoms
SG ... No. 123

a b c (Å): 3.610 3.610 9.270
angles (deg): 90.00 90.00 90.00
Atoms (fractional coordinates):
Ca 0.500 0.500 0.500
Cu 0.500 0.500 0.000
Sm 0.000 0.000 0.821
Sm 0.000 0.000 0.179



Entry 17:
Below is a relaxed structure of KCd2Ga, with properties calculated at the PBE-GGA level.

## Properties
Formation energy from the elements ... 0.215 eV/atom
SG ... No. 166

a b c (Å): 3.400 3.400 11.412
angles (deg): 81.43 81.43 60.00
Atoms (fractional coordinates):
K 0.000 0.000 0.000
Ga 0.500 0.500 0.500
Cd 0.098 0.098 0.705
Cd 0.902 0.902 0.295



Entry 18:
Below is a relaxed structure of NpZnGa3, with properties calculated at the PBE-GGA level.

## Properties
Formation energy from the elements ... -0.096 eV/atom
SG ... No. 11

a b c (Å): 5.625 5.868 5.634
angles (deg): 90.00 88.88 90.00
Each line ends with the local moment (μB).
Atoms (fractional coordinates):
Np 0.663 0.750 0.353  3.92
Np 0.337 0.250 0.647  3.92
Zn 0.456 0.750 0.865  0.01
Zn 0.544 0.250 0.135  0.01
Ga 0.836 0.002 0.841  -0.03
Ga 0.164 0.998 0.159  -0.03
Ga 0.836 0.498 0.841  -0.03
Ga 0.164 0.502 0.159  -0.03
Ga 0.153 0.750 0.555  -0.01
Ga 0.847 0.250 0.445  -0.01



Entry 19:
Below is a relaxed structure of RbH2I, with properties calculated at the PBE-GGA level.

## Properties
Energy above the lowest structure with this stoichiometry ... 24.910 kcal/mol of atoms
SG ... No. 225

a b c (Å): 5.287 5.287 5.287
angles (deg): 60.00 60.00 60.00
Each line ends with the local moment (μB).
Atoms (fractional coordinates):
I 0.500 0.500 0.500  0.26
H 0.250 0.250 0.250  0.34
H 0.750 0.750 0.750  0.34
Rb 0.000 0.000 0.000  0.01



Entry 20:
Below is a relaxed structure of AlSiRh2, with properties calculated at the PBE-GGA level.

## Properties
E_form (uncorrected) ... -76.0 kJ per mole of atoms
SG ... No. 44

a b c (Å): 5.702 5.702 5.702
angles (deg): 150.01 141.64 49.44
Atoms (fractional coordinates):
Si 0.530 0.530 0.000
Rh 0.970 0.970 0.000
Rh 0.709 0.209 0.500
Al 0.290 0.790 0.500



Computed volume (Å³/cell) in order:
439.9; 517.8; 124.2; 98.5; 104.0; 361.7; 315.6; 442.3; 365.1; 361.9; 465.7; 68.4; 90.8; 94.7; 333.8; 120.8; 112.6; 185.9; 104.5; 57.2
Computed E_tot (eV per atom) in order:
-2.33; -3.63; -3.62; -4.93; -6.37; -4.73; -5.99; -3.58; -4.05; -3.96; -6.28; -6.66; -5.66; -3.15; -5.92; -3.91; -1.27; -4.75; -1.96; -6.75